1.
The following is a DFT calculation (PBE-GGA) of Ba2ErGaTe5 after structural relaxation.

Computed properties:
VASP energy in eV per formula unit: -38.8
Magnetic moment in μB/atom: 0.00
Crystal system: orthorhombic
V in A^3/atom: 36.5
SG: Cmc2_1, No. 36

abc: 10.4755 10.4755 14.2852
angles: 90.00 90.00 155.21
Element x y z (fractional)
Ba  0.1218  0.8782  0.1822
Ba  0.8720  0.1280  0.3190
Ba  0.8782  0.1218  0.6822
Ba  0.1280  0.8720  0.8190
Er  0.7950  0.2050  0.0195
Er  0.2050  0.7950  0.5195
Ga  0.5597  0.4403  0.4242
Ga  0.4403  0.5597  0.9242
Te  0.6495  0.3505  0.0022
Te  0.9526  0.0474  0.0335
Te  0.2959  0.7041  0.1623
Te  0.4986  0.5014  0.2638
Te  0.6873  0.3127  0.3677
Te  0.3505  0.6495  0.5022
Te  0.0474  0.9526  0.5335
Te  0.7041  0.2959  0.6623
Te  0.5014  0.4986  0.7638
Te  0.3127  0.6873  0.8677


2.
The following is a DFT calculation (PBE-GGA) of BaGdEr after structural relaxation.

Computed properties:
VASP energy in eV per formula unit: -8.7
Magnetic moment in μB/atom: 0.02
Crystal system: cubic
V in A^3/atom: 45.4
SG: F-43m, No. 216

abc: 5.7746 5.7746 5.7746
angles: 60.00 60.00 60.00
Element x y z (fractional)
Ba  0.2500  0.2500  0.2500
Er  0.0000  0.0000  0.0000
Gd  0.7500  0.7500  0.7500


3.
The following is a DFT calculation (PBE-GGA) of BaErGe2 after structural relaxation.

Computed properties:
VASP energy in eV per formula unit: -15.1
Magnetic moment in μB/atom: 0.00
Crystal system: orthorhombic
V in A^3/atom: 31.2
SG: Amm2, No. 38

abc: 3.3648 6.7242 6.7242
angles: 55.15 90.00 90.00
Element x y z (fractional)
Ba  0.5000  0.1363  0.1363
Er  0.5000  0.8447  0.8447
Ge  0.5000  0.4059  0.4059
Ge  0.5000  0.6132  0.6132